Crystalline Mn3O2F4 at its relaxed geometry. Source: Alexandria, functional PBE with a Hubbard U.

* energy above the most stable polymorph in this dataset: 6 meV per atom
* V: 436.3 Å³/cell
* total magnetization: 13.0 μB/f.u.
* DFT total energy: -6.62 eV/atom

Lattice parameters (Å, degrees): 6.7006 6.6875 9.7398 90.00 91.22 90.00
Space group C2 (No. 5)
Unique sites:
Mn: 0.0000 0.0000 0.0000 x2
Mn: 0.0000 0.4987 0.5000 x2
Mn: 0.0047 0.9653 0.6752 x4
Mn: 0.0299 0.5025 0.1741 x4
O: 0.0129 0.6780 0.3308 x4
O: 0.1811 0.9874 0.8329 x4
F: 0.0000 0.3128 0.0000 x2
F: 0.0000 0.6941 0.0000 x2
F: 0.0083 0.2686 0.3395 x4
F: 0.1880 0.9700 0.4882 x4
F: 0.2250 0.9913 0.1634 x4